1.
Compound: Pr5Cd2Ru2
Source: the Alexandria database
Functional: PBE-GGA
Structure: relaxed

```
data_Pr5Cd2Ru2
_chemical_formula_sum 'Pr20 Cd8 Ru8'
_cell_length_a 16.6701
_cell_length_b 7.7593
_cell_length_c 7.9464
_cell_angle_alpha 90.00
_cell_angle_beta 90.00
_cell_angle_gamma 90.00
_symmetry_space_group_name_H-M 'C m c e'
_symmetry_Int_Tables_number 64
_symmetry_space_group_name_Hall '-C 2ac 2'
loop_
_atom_site_label
_atom_site_type_symbol
_atom_site_fract_x
_atom_site_fract_y
_atom_site_fract_z
Pr1 Pr 0.0000 0.0000 0.0000
Pr2 Pr 0.1168 0.1683 0.3300
Cd1 Cd 0.2175 0.0000 0.0000
Ru1 Ru 0.0000 0.1329 0.6341
```

Properties
Energy of formation from the pure elements ... -0.2077 eV per atom

2.
Compound: Pr5Cd2Ru
Source: the Alexandria database
Functional: PBE-GGA
Structure: relaxed

```
data_Pr5Cd2Ru
_chemical_formula_sum 'Pr10 Cd4 Ru2'
_cell_length_a 7.9831
_cell_length_b 11.1069
_cell_length_c 6.8368
_cell_angle_alpha 90.00
_cell_angle_beta 125.69
_cell_angle_gamma 90.00
_symmetry_space_group_name_H-M 'C 1 m 1'
_symmetry_Int_Tables_number 8
loop_
_symmetry_equiv_pos_as_xyz
'x,y,z'
'x,-y,z'
'x+1/2,y+1/2,z'
'x+1/2,-y+1/2,z'
loop_
_atom_site_label
_atom_site_type_symbol
_atom_site_fract_x
_atom_site_fract_y
_atom_site_fract_z
Pr1 Pr 0.0000 0.0000 0.0000
Pr2 Pr 0.0023 0.5000 0.5085
Pr3 Pr 0.0069 0.5000 0.0151
Pr4 Pr 0.2528 0.2535 0.5069
Cd1 Cd 0.2476 0.2502 0.0069
Ru1 Ru 0.3492 0.5000 0.5074
```

Properties
Energy of formation from the pure elements ... -0.0906 eV per atom

3.
Compound: Pr8Cd2Ru3
Source: the Alexandria database
Functional: PBE-GGA
Structure: relaxed

```
data_Pr8Cd2Ru3
_chemical_formula_sum 'Pr8 Cd2 Ru3'
_cell_length_a 9.2744
_cell_length_b 5.0455
_cell_length_c 9.3019
_cell_angle_alpha 90.00
_cell_angle_beta 114.14
_cell_angle_gamma 90.00
_symmetry_space_group_name_H-M 'P 1 2/m 1'
_symmetry_Int_Tables_number 10
loop_
_symmetry_equiv_pos_as_xyz
'x,y,z'
'-x,-y,-z'
'-x,y,-z'
'x,-y,z'
loop_
_atom_site_label
_atom_site_type_symbol
_atom_site_fract_x
_atom_site_fract_y
_atom_site_fract_z
Pr1 Pr 0.1068 0.0000 0.3920
Pr2 Pr 0.1445 0.5000 0.8625
Pr3 Pr 0.3597 0.5000 0.6444
Pr4 Pr 0.3903 0.0000 0.1110
Cd1 Cd 0.2458 0.5000 0.2559
Ru1 Ru 0.2490 0.0000 0.7497
Ru2 Ru 0.5000 0.5000 0.0000
```

Properties
Energy of formation from the pure elements ... -0.0858 eV per atom

4.
Compound: Pr2CdRu
Source: the Alexandria database
Functional: PBE-GGA
Structure: relaxed

```
data_Pr2CdRu
_chemical_formula_sum 'Pr6 Cd3 Ru3'
_cell_length_a 4.1451
_cell_length_b 4.1451
_cell_length_c 24.1017
_cell_angle_alpha 90.00
_cell_angle_beta 90.00
_cell_angle_gamma 120.00
_symmetry_space_group_name_H-M 'R 3 m'
_symmetry_Int_Tables_number 160
_symmetry_space_group_name_Hall 'R 3 -2"'
loop_
_atom_site_label
_atom_site_type_symbol
_atom_site_fract_x
_atom_site_fract_y
_atom_site_fract_z
Pr1 Pr 0.0000 0.0000 0.0000
Pr2 Pr 0.0000 0.0000 0.2055
Cd1 Cd 0.0000 0.0000 0.4371
Ru1 Ru 0.0000 0.0000 0.6018
```

Properties
Energy of formation from the pure elements ... -0.0969 eV per atom
Relative energy among the computed polymorphs ... 0.1131 eV per atom

5.
Compound: Pr2CdRu
Source: the Alexandria database
Functional: PBE-GGA
Structure: relaxed

```
data_Pr2CdRu
_chemical_formula_sum 'Pr6 Cd3 Ru3'
_cell_length_a 4.0668
_cell_length_b 4.0668
_cell_length_c 24.8763
_cell_angle_alpha 90.00
_cell_angle_beta 90.00
_cell_angle_gamma 120.00
_symmetry_space_group_name_H-M 'R -3 m'
_symmetry_Int_Tables_number 166
_symmetry_space_group_name_Hall '-R 3 2"'
loop_
_atom_site_label
_atom_site_type_symbol
_atom_site_fract_x
_atom_site_fract_y
_atom_site_fract_z
Pr1 Pr 0.0000 0.0000 0.2310
Cd1 Cd 0.0000 0.0000 0.0000
Ru1 Ru 0.0000 0.0000 0.5000
```

Properties
Energy of formation from the pure elements ... -0.0974 eV per atom
Relative energy among the computed polymorphs ... 0.1126 eV per atom

6.
Compound: Pr7Cd2Ru2
Source: the Alexandria database
Functional: PBE-GGA
Structure: relaxed

```
data_Pr7Cd2Ru2
_chemical_formula_sum 'Pr14 Cd4 Ru4'
_cell_length_a 3.9377
_cell_length_b 16.8657
_cell_length_c 9.9820
_cell_angle_alpha 90.00
_cell_angle_beta 90.00
_cell_angle_gamma 90.00
_symmetry_space_group_name_H-M 'I m m 2'
_symmetry_Int_Tables_number 44
loop_
_symmetry_equiv_pos_as_xyz
'x,y,z'
'-x,-y,z'
'-x,y,z'
'x,-y,z'
'x+1/2,y+1/2,z+1/2'
'-x+1/2,-y+1/2,z+1/2'
'-x+1/2,y+1/2,z+1/2'
'x+1/2,-y+1/2,z+1/2'
loop_
_atom_site_label
_atom_site_type_symbol
_atom_site_fract_x
_atom_site_fract_y
_atom_site_fract_z
Pr1 Pr 0.0000 0.0000 0.0000
Pr2 Pr 0.0000 0.1366 0.4254
Pr3 Pr 0.0000 0.3213 0.6241
Pr4 Pr 0.0000 0.3477 0.2665
Cd1 Cd 0.0000 0.0000 0.6675
Cd2 Cd 0.0000 0.5000 0.7742
Ru1 Ru 0.0000 0.2387 0.9375
```

Properties
Energy of formation from the pure elements ... -0.1723 eV per atom
Relative energy among the computed polymorphs ... 0.0000 eV per atom